1.
{
  "formula": "AlRh",
  "functional": "GGA-PBE",
  "state": "relaxed",
  "formation_energy_ev_per_atom": -0.83,
  "cell": [[5.252, 0.000, 0.002], [2.792, 4.449, -0.002], [-3.627, -2.939, 2.407]],
  "species": ["Rh", "Rh", "Al", "Al"],
  "frac_coords": [[0.867, 0.117, 0.250], [0.133, 0.883, 0.750], [0.366, 0.616, 0.250], [0.634, 0.384, 0.750]]
}


2.
{
  "formula": "Li2RhO2",
  "functional": "GGA-PBE",
  "state": "relaxed",
  "raw_formation_energy_mev_per_atom": -1203,
  "cell": [[-0.150, 4.554, 3.301], [-4.394, -2.156, 2.774], [1.769, -1.262, 1.822]],
  "species": ["Li", "Li", "Li", "Li", "O", "O", "O", "O", "Rh", "Rh"],
  "frac_coords": [[0.636, 0.864, 0.500], [0.864, 0.364, 0.500], [0.136, 0.636, 0.500], [0.364, 0.136, 0.500], [0.172, 0.328, 0.000], [0.328, 0.828, 0.000], [0.828, 0.672, 0.000], [0.672, 0.172, 0.000], [0.500, 0.500, 0.000], [0.000, 0.000, 0.000]]
}


3.
{
  "formula": "ScTc2Br",
  "functional": "GGA-PBE",
  "state": "relaxed",
  "raw_formation_energy_mev_per_atom": 311,
  "cell": [[-5.475, -1.248, 1.217], [-1.834, -4.123, 3.558], [3.711, 4.368, -0.409]],
  "species": ["Br", "Tc", "Tc", "Sc"],
  "frac_coords": [[0.250, 0.750, 0.500], [0.000, 0.000, 0.000], [0.500, 0.500, 0.000], [0.750, 0.250, 0.500]]
}


4.
{
  "formula": "TlAgPbF6",
  "functional": "GGA-PBE",
  "state": "relaxed",
  "raw_formation_energy_mev_per_atom": -1846,
  "cell": [[-2.906, 1.063, 4.496], [-0.357, -5.348, 1.034], [9.515, 0.530, 6.025]],
  "species": ["Pb", "Pb", "F", "F", "F", "F", "F", "F", "F", "F", "F", "F", "F", "F", "Tl", "Tl", "Ag", "Ag"],
  "frac_coords": [[0.500, 0.500, 0.169], [0.000, 0.000, 0.669], [0.687, 0.687, 0.985], [0.813, 0.187, 0.485], [0.313, 0.313, 0.985], [0.288, 0.288, 0.329], [0.712, 0.712, 0.329], [0.186, 0.814, 0.184], [0.788, 0.212, 0.829], [0.212, 0.788, 0.829], [0.686, 0.686, 0.684], [0.814, 0.186, 0.184], [0.187, 0.813, 0.485], [0.314, 0.314, 0.684], [0.000, 0.000, 0.335], [0.500, 0.500, 0.835], [0.000, 0.000, 0.999], [0.500, 0.500, 0.499]]
}


5.
{
  "formula": "CsScIn2I6",
  "functional": "GGA-PBE",
  "state": "relaxed",
  "raw_formation_energy_mev_per_atom": -975,
  "cell": [[8.564, 0.005, 0.002], [4.287, 7.411, 0.000], [4.285, 2.472, 7.669]],
  "species": ["I", "I", "I", "I", "I", "I", "In", "In", "Cs", "Sc"],
  "frac_coords": [[0.539, 0.262, 0.224], [0.262, 0.975, 0.224], [0.155, 0.371, 0.779], [0.975, 0.540, 0.224], [0.371, 0.696, 0.779], [0.696, 0.154, 0.779], [0.002, 0.002, 0.994], [0.518, 0.518, 0.447], [0.816, 0.816, 0.551], [0.328, 0.328, 0.015]]
}


6.
{
  "formula": "Pm2TeI3",
  "functional": "GGA-PBE",
  "state": "relaxed",
  "raw_formation_energy_mev_per_atom": -1313,
  "cell": [[-1.945, 3.848, 0.956], [-9.306, -1.311, -3.457], [-5.381, -2.654, 9.929]],
  "species": ["I", "I", "I", "I", "I", "I", "Pm", "Pm", "Pm", "Pm", "Te", "Te"],
  "frac_coords": [[0.333, 0.300, 0.034], [0.759, 0.872, 0.610], [0.667, 0.700, 0.966], [0.052, 0.131, 0.764], [0.241, 0.128, 0.390], [0.948, 0.869, 0.236], [0.605, 0.229, 0.562], [0.133, 0.573, 0.160], [0.867, 0.427, 0.840], [0.395, 0.771, 0.438], [0.591, 0.478, 0.340], [0.409, 0.522, 0.660]]
}


7.
{
  "formula": "Cs3Sb2H",
  "functional": "GGA-PBE",
  "state": "relaxed",
  "energy_ev_per_atom": -2.601,
  "cell": [[-1.335, -6.891, -2.485], [5.435, 1.555, -4.846], [6.279, -3.530, 5.376]],
  "species": ["Cs", "Cs", "Cs", "Cs", "Cs", "Cs", "Sb", "Sb", "Sb", "Sb", "H", "H"],
  "frac_coords": [[0.252, 0.099, 0.501], [0.596, 0.404, 0.750], [0.748, 0.901, 0.499], [0.099, 0.252, 0.001], [0.404, 0.596, 0.250], [0.901, 0.748, 0.999], [0.112, 0.560, 0.637], [0.560, 0.112, 0.137], [0.888, 0.440, 0.363], [0.440, 0.888, 0.863], [0.780, 0.220, 0.250], [0.220, 0.780, 0.750]]
}


8.
{
  "formula": "CaDy5Cd3",
  "functional": "GGA-PBE",
  "state": "relaxed",
  "formation_energy_ev_per_atom": -0.18,
  "cell": [[-6.907, 0.663, 0.064], [-0.423, -5.151, 7.630], [0.884, 9.149, 0.660]],
  "species": ["Cd", "Cd", "Cd", "Cd", "Cd", "Cd", "Dy", "Dy", "Dy", "Dy", "Dy", "Dy", "Dy", "Dy", "Dy", "Dy", "Ca", "Ca"],
  "frac_coords": [[0.750, 0.000, 0.664], [0.750, 0.336, 0.336], [0.250, 0.000, 0.336], [0.250, 0.336, 0.000], [0.750, 0.664, 0.000], [0.250, 0.664, 0.664], [0.750, 0.000, 0.334], [0.500, 0.667, 0.333], [0.250, 0.000, 0.666], [0.500, 0.333, 0.667], [0.000, 0.333, 0.667], [0.250, 0.666, 0.000], [0.750, 0.334, 0.000], [0.250, 0.334, 0.334], [0.000, 0.667, 0.333], [0.750, 0.666, 0.666], [0.500, 0.000, 0.000], [0.000, 0.000, 0.000]]
}


9.
{
  "formula": "CrTcCl2",
  "functional": "GGA-PBE",
  "state": "relaxed",
  "raw_formation_energy_mev_per_atom": 479,
  "cell": [[-0.192, 0.762, -2.858], [-5.651, 0.202, 0.434], [0.221, 3.955, 1.039]],
  "species": ["Cr", "Cl", "Cl", "Tc"],
  "frac_coords": [[0.500, 0.000, 0.500], [0.500, 0.500, 0.000], [0.000, 0.000, 0.000], [0.000, 0.500, 0.500]]
}


10.
{
  "formula": "Pr4Cd3Au",
  "functional": "GGA-PBE",
  "state": "relaxed",
  "formation_energy_ev_per_atom": -0.42,
  "cell": [[3.849, 0.000, 0.000], [0.000, 3.849, 0.000], [0.000, 0.000, 15.368]],
  "species": ["Au", "Pr", "Pr", "Pr", "Pr", "Cd", "Cd", "Cd"],
  "frac_coords": [[0.500, 0.500, 0.000], [0.000, 0.000, 0.884], [0.000, 0.000, 0.628], [0.000, 0.000, 0.116], [0.000, 0.000, 0.372], [0.500, 0.500, 0.752], [0.500, 0.500, 0.500], [0.500, 0.500, 0.248]]
}


11.
{
  "formula": "HoThMgOs",
  "functional": "GGA-PBE",
  "state": "relaxed",
  "formation_energy_ev_per_atom": -0.09,
  "cell": [[-3.908, -2.540, 2.054], [-3.211, -2.585, -2.991], [0.016, -5.093, 0.048]],
  "species": ["Ho", "Mg", "Os", "Th"],
  "frac_coords": [[0.250, 0.250, 0.250], [0.000, 0.000, 0.000], [0.500, 0.500, 0.500], [0.750, 0.750, 0.750]]
}


12.
{
  "formula": "CdInOs2",
  "functional": "GGA-PBE",
  "state": "relaxed",
  "formation_energy_ev_per_atom": 0.73,
  "cell": [[-3.237, -3.373, 0.546], [1.562, -1.153, 2.137], [-2.414, 2.883, 3.497]],
  "species": ["Os", "Os", "In", "Cd"],
  "frac_coords": [[0.000, 0.974, 0.025], [0.000, 0.526, 0.475], [0.500, 0.750, 0.750], [0.500, 0.250, 0.250]]
}


Let's list D(E_F) in order: 1.75 4.23 4.16 0.00 0.00 8.10 7.23 17.10 3.06 9.63 3.66 3.35 states/eV/cell.